Record 1
FePPt2: optimized geometry, PBE.

It has space group Pmmm (No. 47), with a = 2.9451 Å, b = 3.6260 Å, c = 5.4157 Å, α = 90.00°, β = 90.00° and γ = 90.00°. The inequivalent atoms are Fe at (0.0000, 0.0000, 0.0000), P at (0.0000, 0.0000, 0.5000) and Pt at (0.5000, 0.5000, 0.2464).

The final energy is -6.56 eV per atom.


Record 2
Fe2PPt: optimized geometry, PBE.

It has space group Cm (No. 8), with a = 8.1585 Å, b = 2.8364 Å, c = 4.6998 Å, α = 90.00°, β = 90.08° and γ = 90.00°. The inequivalent atoms are Fe at (0.0000, 0.0000, 0.0000), Fe at (0.2216, 0.5000, 0.2424), P at (0.2698, 0.0000, 0.8818) and Pt at (0.4477, 0.0000, 0.4986).

The final energy is -7.23 eV per atom.


Record 3
Fe2PPt: optimized geometry, PBE.

It has space group Imm2 (No. 44), with a = 2.9503 Å, b = 4.0063 Å, c = 8.8109 Å, α = 90.00°, β = 90.00° and γ = 90.00°. The inequivalent atoms are Fe at (0.0000, 0.0000, 0.0000), Fe at (0.0000, 0.5000, 0.1842), P at (0.0000, 0.5000, 0.6946) and Pt at (0.0000, 0.0000, 0.4095).

The final energy is -7.23 eV per atom.


Record 4
FePPt2: optimized geometry, PBE.

It has space group I-4m2 (No. 119), with a = 3.8082 Å, b = 3.8082 Å, c = 7.9899 Å, α = 90.00°, β = 90.00° and γ = 90.00°. The inequivalent atoms are Fe at (0.0000, 0.0000, 0.0000), P at (0.0000, 0.5000, 0.7500), Pt at (0.0000, 0.0000, 0.5000) and Pt at (0.0000, 0.5000, 0.2500).

The final energy is -6.46 eV per atom.


Record 5
FeP2Pt: optimized geometry, PBE.

It has space group R-3m (No. 166, hexagonal axes), with a = 2.8715 Å, b = 2.8715 Å, c = 21.9463 Å, α = 90.00°, β = 90.00° and γ = 120.00°. The inequivalent atoms are Fe at (0.0000, 0.0000, 0.0000), P at (0.0000, 0.0000, 0.2604) and Pt at (0.0000, 0.0000, 0.5000).

The final energy is -6.45 eV per atom. The energy above the most stable polymorph in this dataset is 238.2 meV per atom.


Record 6
FeP2Pt: optimized geometry, PBE.

It has space group Fm-3m (No. 225), with a = 5.9356 Å, b = 5.9356 Å, c = 5.9356 Å, α = 90.00°, β = 90.00° and γ = 90.00°. The inequivalent atoms are Fe at (0.0000, 0.0000, 0.0000), P at (0.2500, 0.2500, 0.2500) and Pt at (0.0000, 0.0000, 0.5000).

The final energy is -6.14 eV per atom. The energy above the most stable polymorph in this dataset is 549.6 meV per atom.


Record 7
FePPt: optimized geometry, PBE.

It has space group I4mm (No. 107), with a = 2.8848 Å, b = 2.8848 Å, c = 9.3480 Å, α = 90.00°, β = 90.00° and γ = 90.00°. The inequivalent atoms are Fe at (0.0000, 0.0000, 0.0000), P at (0.0000, 0.0000, 0.6100) and Pt at (0.0000, 0.0000, 0.2958).

The final energy is -6.74 eV per atom.


Record 8
FeP2Pt: optimized geometry, PBE.

It has space group R3m (No. 160, hexagonal axes), with a = 3.0710 Å, b = 3.0710 Å, c = 20.9828 Å, α = 90.00°, β = 90.00° and γ = 120.00°. The inequivalent atoms are Fe at (0.0000, 0.0000, 0.0000), P at (0.0000, 0.0000, 0.2703), P at (0.0000, 0.0000, 0.5115) and Pt at (0.0000, 0.0000, 0.7720).

The final energy is -6.38 eV per atom. The energy above the most stable polymorph in this dataset is 303.3 meV per atom.


Record 9
FeP2Pt: optimized geometry, PBE.

It has space group P4/mmm (No. 123), with a = 2.9875 Å, b = 2.9875 Å, c = 5.8812 Å, α = 90.00°, β = 90.00° and γ = 90.00°. The inequivalent atoms are Fe at (0.0000, 0.0000, 0.0000), P at (0.5000, 0.5000, 0.2210) and Pt at (0.0000, 0.0000, 0.5000).

The final energy is -6.30 eV per atom. The energy above the most stable polymorph in this dataset is 381.2 meV per atom.


Record 10
FeP2Pt: optimized geometry, PBE.

It has space group Cmmm (No. 65), with a = 5.6531 Å, b = 7.8348 Å, c = 2.6399 Å, α = 90.00°, β = 90.00° and γ = 90.00°. The inequivalent atoms are Fe at (0.0000, 0.0000, 0.0000), P at (0.2500, 0.2500, 0.0000) and Pt at (0.0000, 0.5000, 0.0000).

The final energy is -6.27 eV per atom. The energy above the most stable polymorph in this dataset is 416.0 meV per atom.


Record 11
Fe2PPt: optimized geometry, PBE.

It has space group I4/mmm (No. 139), with a = 3.5994 Å, b = 3.5994 Å, c = 8.0499 Å, α = 90.00°, β = 90.00° and γ = 90.00°. The inequivalent atoms are Fe at (0.0000, 0.5000, 0.2500), P at (0.0000, 0.0000, 0.0000) and Pt at (0.0000, 0.0000, 0.5000).

The final energy is -7.19 eV per atom.


Record 12
Fe2PPt: optimized geometry, PBE.

It has space group Immm (No. 71), with a = 2.8766 Å, b = 4.2852 Å, c = 8.1848 Å, α = 90.00°, β = 90.00° and γ = 90.00°. The inequivalent atoms are Fe at (0.0000, 0.0000, 0.2166), P at (0.0000, 0.5000, 0.5000) and Pt at (0.0000, 0.5000, 0.0000).

The final energy is -7.24 eV per atom.